Density functional theory data (GGA+U) for a relaxed structure of AcTlWO6.

Values from the calculation:
- symmetry = No. 102
- DOS at the Fermi energy (states/eV/cell) = 0.00
- final energy (eV per atom) = -6.835
- total magnetization (μB/atom) = 0.00

a = 5.199 Å, b = 5.199 Å, c = 10.392 Å
α = 90.00°, β = 90.00°, γ = 90.00°
Positions (direct):
1 Ac 0.000 0.000 0.000
2 Ac 0.500 0.500 0.500
3 Tl 0.000 0.000 0.329
4 Tl 0.500 0.500 0.829
5 W 0.000 0.000 0.665
6 W 0.500 0.500 0.165
7 O 0.170 0.170 0.516
8 O 0.188 0.188 0.794
9 O 0.232 0.232 0.172
10 O 0.268 0.732 0.672
11 O 0.312 0.688 0.294
12 O 0.330 0.670 0.016
13 O 0.670 0.330 0.016
14 O 0.688 0.312 0.294
15 O 0.732 0.268 0.672
16 O 0.768 0.768 0.172
17 O 0.812 0.812 0.794
18 O 0.830 0.830 0.516